[1]
{
  "formula": "Sm4Si2Te",
  "functional": "PBE",
  "state": "relaxed",
  "raw_formation_energy_ev_per_atom": -0.68,
  "cell": [[8.832, 0.318, -0.156], [-0.320, 8.832, 0.156], [-4.144, -4.679, 6.251]],
  "species": ["Sm", "Sm", "Sm", "Sm", "Sm", "Sm", "Sm", "Sm", "Si", "Si", "Si", "Si", "Te", "Te"],
  "fractional_positions": [[0.857, 0.143, 0.287], [0.393, 0.607, 0.213], [0.857, 0.570, 0.713], [0.857, 0.143, 0.713], [0.430, 0.143, 0.287], [0.393, 0.180, 0.787], [0.393, 0.607, 0.787], [0.820, 0.607, 0.213], [0.625, 0.375, 0.750], [0.625, 0.875, 0.250], [0.625, 0.375, 0.250], [0.125, 0.375, 0.750], [0.250, 0.750, 0.500], [0.000, 0.000, 0.000]]
}

=====

[2]
{
  "formula": "Sm3ThSi4",
  "functional": "PBE",
  "state": "relaxed",
  "raw_formation_energy_ev_per_atom": -0.50,
  "cell": [[4.075, 0.000, 0.000], [0.000, 6.384, -0.756], [-2.038, -2.258, 8.282]],
  "species": ["Sm", "Sm", "Sm", "Th", "Si", "Si", "Si", "Si"],
  "fractional_positions": [[0.000, 0.500, 0.000], [0.194, 0.194, 0.387], [0.806, 0.806, 0.613], [0.500, 0.000, 0.000], [0.368, 0.550, 0.735], [0.632, 0.450, 0.265], [0.632, 0.814, 0.264], [0.368, 0.186, 0.736]]
}

=====

[3]
{
  "formula": "SmThSi",
  "functional": "PBE",
  "state": "relaxed",
  "raw_formation_energy_ev_per_atom": -0.44,
  "cell": [[-4.406, 0.097, -0.448], [-0.698, -5.506, 5.664], [-0.026, 7.693, 1.924]],
  "species": ["Si", "Si", "Si", "Th", "Th", "Th", "Sm", "Sm", "Sm"],
  "fractional_positions": [[0.500, 0.667, 0.333], [0.500, 0.333, 0.667], [0.000, 0.000, 0.000], [0.500, 0.251, 0.000], [0.500, 0.000, 0.251], [0.500, 0.749, 0.749], [0.000, 0.586, 0.000], [0.000, 0.000, 0.586], [0.000, 0.414, 0.414]]
}

=====

[4]
{
  "formula": "Sm2ThSi6",
  "functional": "PBE",
  "state": "relaxed",
  "raw_formation_energy_ev_per_atom": -0.59,
  "cell": [[4.112, 0.000, 0.000], [0.000, 6.191, -3.574], [0.000, 0.000, 7.149]],
  "species": ["Sm", "Sm", "Th", "Si", "Si", "Si", "Si", "Si", "Si"],
  "fractional_positions": [[0.000, 0.333, 0.667], [0.000, 0.667, 0.333], [0.000, 0.000, 0.000], [0.500, 0.334, 0.334], [0.500, 0.666, 0.666], [0.500, 0.000, 0.666], [0.500, 0.666, 0.000], [0.500, 0.334, 0.000], [0.500, 0.000, 0.334]]
}

=====

[5]
{
  "formula": "Sm2ThSi4",
  "functional": "PBE",
  "state": "relaxed",
  "raw_formation_energy_ev_per_atom": -0.74,
  "cell": [[3.876, 0.000, -0.884], [-0.225, 4.229, -0.988], [0.093, -0.047, 9.348]],
  "species": ["Sm", "Sm", "Th", "Si", "Si", "Si", "Si"],
  "fractional_positions": [[0.818, 0.818, 0.636], [0.182, 0.182, 0.364], [0.500, 0.000, 0.000], [0.647, 0.647, 0.294], [0.353, 0.353, 0.706], [0.066, 0.566, 0.132], [0.934, 0.434, 0.868]]
}

=====

[6]
{
  "formula": "SmThSi",
  "functional": "PBE",
  "state": "relaxed",
  "raw_formation_energy_ev_per_atom": -0.28,
  "cell": [[-0.443, -1.873, 3.380], [0.845, -3.367, -1.754], [4.820, 3.332, 0.240]],
  "species": ["Si", "Th", "Sm"],
  "fractional_positions": [[0.285, 0.285, 0.571], [0.638, 0.638, 0.277], [0.926, 0.926, 0.852]]
}

=====

[7]
{
  "formula": "SmThSi",
  "functional": "PBE",
  "state": "relaxed",
  "raw_formation_energy_ev_per_atom": -0.33,
  "cell": [[-3.600, -2.626, 2.168], [0.613, -1.709, 4.611], [-2.594, 1.966, 3.736]],
  "species": ["Si", "Sm", "Th"],
  "fractional_positions": [[0.250, 0.250, 0.250], [0.000, 0.000, 0.000], [0.500, 0.500, 0.500]]
}

=====

[8]
{
  "formula": "SmThSi",
  "functional": "PBE",
  "state": "relaxed",
  "raw_formation_energy_ev_per_atom": -0.13,
  "cell": [[-1.100, -3.695, -2.153], [0.574, -2.453, 3.917], [-4.162, 1.830, -1.013]],
  "species": ["Si", "Sm", "Th"],
  "fractional_positions": [[0.986, 0.000, 0.000], [0.740, 0.667, 0.333], [0.274, 0.333, 0.667]]
}